DFT (PBE with a Hubbard U) results for a relaxed TaMnO2 crystal.

a = 6.3042 Å, b = 6.3042 Å, c = 6.3042 Å
α = 137.08°, β = 137.08°, γ = 62.32°
Last column: nearest neighbours and their distance in Å.
Positions (direct):
Ta1 0.0000 0.0000 0.0000  4 O 2.00
Ta2 0.7500 0.2500 0.5000  4 O 2.00
Mn1 0.2500 0.7500 0.5000  4 O 2.24
Mn2 0.5000 0.5000 0.0000  4 O 2.24
O1 0.0772 0.6250 0.9522  2 Ta 2.00, 2 Mn 2.24
O2 0.3750 0.3272 0.4522  2 Ta 2.00, 2 Mn 2.24
O3 0.6728 0.1250 0.0478  2 Ta 2.00, 2 Mn 2.24
O4 0.8750 0.9228 0.5478  2 Ta 2.00, 2 Mn 2.24

## Properties
- Energy: -8.563 eV per atom
- Symmetry: No. 122
- Relative energy among the computed polymorphs: 33.9 kJ per mole of atoms